TeMo2Ir | PBE | relaxed

The structure in POSCAR format:
```
TeMo2Ir
1.0
4.7280 -1.5702 0.0000
4.7280 1.5702 0.0000
-0.6195 0.0000 4.7059
Te Mo Ir
1 2 1
Direct
0.0000 0.0000 0.0000
0.2368 0.2368 0.7078
0.7632 0.7632 0.2922
0.5000 0.5000 0.5000
```

## Properties
The space group is C2/m (12). The polymorph energy (0 for the lowest one) comes out at 63.1 meV per atom.


Te2MoIr | PBE | relaxed

The structure in POSCAR format:
```
Te2MoIr
1.0
3.5724 0.0000 0.0000
0.0000 3.5724 0.0000
0.0000 0.0000 7.3250
Te Mo Ir
2 1 1
Direct
0.0000 0.0000 0.0000
0.5000 0.5000 0.4680
0.5000 0.5000 0.8263
0.0000 0.0000 0.6333
```

## Properties
The space group is P4mm (99). The polymorph energy (0 for the lowest one) comes out at 27.6 meV per atom.


TeMoIr2 | PBE | relaxed

The structure in POSCAR format:
```
TeMoIr2
1.0
2.9379 0.0000 0.0000
0.0000 3.7504 0.0000
0.0000 0.0000 6.1685
Te Mo Ir
1 1 2
Direct
0.0000 0.0000 0.0000
0.5000 0.5000 0.6946
0.0000 0.0000 0.4934
0.5000 0.5000 0.2492
```

## Properties
The space group is Pmm2 (25). The polymorph energy (0 for the lowest one) comes out at 149.7 meV per atom.


TeMoIr2 | PBE | relaxed

The structure in POSCAR format:
```
TeMoIr2
1.0
4.7404 -1.4871 0.0000
4.7404 1.4871 0.0000
-0.4904 0.0000 4.7267
Te Mo Ir
1 1 2
Direct
0.0000 0.0000 0.0000
0.5000 0.5000 0.5000
0.2372 0.2372 0.7316
0.7628 0.7628 0.2684
```

## Properties
The space group is C2/m (12). The polymorph energy (0 for the lowest one) comes out at 113.4 meV per atom.


TeMoIr2 | PBE | relaxed

The structure in POSCAR format:
```
TeMoIr2
1.0
3.0250 0.0000 0.0000
0.0000 3.0250 0.0000
0.0000 0.0000 7.4048
Te Mo Ir
1 1 2
Direct
0.0000 0.0000 0.0000
0.5000 0.5000 0.7197
0.0000 0.0000 0.5097
0.5000 0.5000 0.2396
```

## Properties
The space group is P4mm (99). The polymorph energy (0 for the lowest one) comes out at 199.5 meV per atom.


TeMo2Ir | PBE | relaxed

The structure in POSCAR format:
```
TeMo2Ir
1.0
3.8349 0.0000 0.0000
0.0000 3.8349 0.0000
0.0000 0.0000 4.6166
Te Mo Ir
1 2 1
Direct
0.0000 0.0000 0.0000
0.0000 0.5000 0.5000
0.5000 0.0000 0.5000
0.5000 0.5000 0.0000
```

## Properties
The space group is P4/mmm (123). The polymorph energy (0 for the lowest one) comes out at 177.2 meV per atom.


TeMoIr2 | PBE | relaxed

The structure in POSCAR format:
```
TeMoIr2
1.0
1.4845 0.8571 8.8695
-1.4845 0.8571 8.8695
0.0000 -1.7141 8.8695
Te Mo Ir
1 1 2
Direct
0.0000 0.0000 0.0000
0.7561 0.7561 0.7561
0.2510 0.2510 0.2510
0.4996 0.4996 0.4996
```

## Properties
The space group is R3m (160). The polymorph energy (0 for the lowest one) comes out at 289.2 meV per atom.


TeMoIr2 | PBE | relaxed

The structure in POSCAR format:
```
TeMoIr2
1.0
4.4234 0.0000 0.0000
0.0000 1.4802 5.2025
0.0000 -1.4802 5.2025
Te Mo Ir
1 1 2
Direct
0.0000 0.0000 0.0000
0.5000 0.3110 0.3110
0.0000 0.7493 0.7493
0.5000 0.5778 0.5778
```

## Properties
The space group is Amm2 (38). The polymorph energy (0 for the lowest one) comes out at 58.6 meV per atom.


Te2MoIr | PBE | relaxed

The structure in POSCAR format:
```
Te2MoIr
1.0
0.0000 3.3631 3.3631
3.3631 0.0000 3.3631
3.3631 3.3631 0.0000
Te Mo Ir
2 1 1
Direct
0.2500 0.2500 0.2500
0.7500 0.7500 0.7500
0.0000 0.0000 0.0000
0.5000 0.5000 0.5000
```

## Properties
The space group is Fm-3m (225). The polymorph energy (0 for the lowest one) comes out at 344.0 meV per atom.


Te4Mo2Ir | PBE | relaxed

The structure in POSCAR format:
```
Te4Mo2Ir
1.0
-2.7162 2.7162 6.4588
2.7162 -2.7162 6.4588
2.7162 2.7162 -6.4588
Te Mo Ir
4 2 1
Direct
0.0000 0.5000 0.5000
0.2043 0.2043 0.0000
0.5000 0.0000 0.5000
0.7957 0.7957 0.0000
0.4093 0.4093 0.0000
0.5907 0.5907 0.0000
0.0000 0.0000 0.0000
```

## Properties
The space group is I4/mmm (139).


TeMoIr2 | PBE | relaxed

The structure in POSCAR format:
```
TeMoIr2
1.0
4.0210 0.0000 0.0000
0.0000 4.0210 0.0000
0.0000 0.0000 4.0830
Te Mo Ir
1 1 2
Direct
0.0000 0.0000 0.0000
0.5000 0.5000 0.0000
0.0000 0.5000 0.5000
0.5000 0.0000 0.5000
```

## Properties
The space group is P4/mmm (123). The polymorph energy (0 for the lowest one) comes out at 198.1 meV per atom.


TeMoIr2 | PBE | relaxed

The structure in POSCAR format:
```
TeMoIr2
1.0
2.9209 0.0000 0.0000
0.0000 2.9209 0.0000
0.0000 0.0000 8.0701
Te Mo Ir
1 1 2
Direct
0.0000 0.0000 0.0000
0.0000 0.0000 0.5000
0.5000 0.5000 0.2797
0.5000 0.5000 0.7203
```

## Properties
The space group is P4/mmm (123). The polymorph energy (0 for the lowest one) comes out at 0.0 meV per atom.


| no. | total magnetization (μB per atom) | final energy (eV per atom) |
| --- | --- | --- |
| 1 | 0.000 | -8.1009 |
| 2 | 0.000 | -6.3099 |
| 3 | 0.000 | -7.5906 |
| 4 | 0.000 | -7.6270 |
| 5 | 0.000 | -7.5409 |
| 6 | 0.000 | -7.9869 |
| 7 | 0.000 | -7.4511 |
| 8 | 0.000 | -7.6818 |
| 9 | 0.000 | -5.9935 |
| 10 | 0.321 | -5.4647 |
| 11 | 0.332 | -7.5422 |
| 12 | 0.000 | -7.7403 |